Here is an optimized crystal structure of Zr5Sb6 from Alexandria via LeMat-Bulk. Energies are from GGA-PBE.

The density of states at the Fermi level comes out at 5.41 states/eV/f.u. As for the calculated density: 6.8 g cm⁻³. The value obtained for the uncorrected formation energy is -0.557 eV/atom. The calculation puts the total DFT energy (no corrections) at -6.691 eV per atom.

The structure belongs to space group C2/m (No. 12); the cell edges are 7.0975, 12.2323 and 7.0697 Å and the angles 90.00°, 109.59° and 90.00°. The distinct sites, in fractional coordinates, are Zr at (0.0000, 0.0000, 0.0000), Zr at (0.0000, 0.1642, 0.5000), Zr at (0.0000, 0.3241, 0.0000), Sb at (0.2321, 0.3444, 0.7344) and Sb at (0.2317, 0.5000, 0.2540).

***

Here is an optimized crystal structure of ZrSb from Alexandria via LeMat-Bulk. Energies are from GGA-PBE.

The density of states at the Fermi level comes out at 1.20 states/eV/f.u. As for the calculated density: 4.0 g cm⁻³. The value obtained for the uncorrected formation energy is 0.025 eV/atom. The calculation puts the total DFT energy (no corrections) at -6.311 eV per atom.

The structure belongs to space group I-43m (No. 217); the cell edges are 8.9330, 8.9330 and 8.9330 Å and the angles 90.00°, 90.00° and 90.00°. The distinct sites, in fractional coordinates, are Zr at (0.1291, 0.1291, 0.1291) and Sb at (0.1836, 0.1836, 0.8164).

***

Here is an optimized crystal structure of ZrSb2 from Alexandria via LeMat-Bulk. Energies are from GGA-PBE.

The density of states at the Fermi level comes out at 1.92 states/eV/f.u. As for the calculated density: 6.5 g cm⁻³. The value obtained for the uncorrected formation energy is -0.205 eV/atom. The calculation puts the total DFT energy (no corrections) at -5.802 eV per atom.

The structure belongs to space group P4/mmm (No. 123); the cell edges are 5.2152, 5.2152 and 3.1286 Å and the angles 90.00°, 90.00° and 90.00°. The distinct sites, in fractional coordinates, are Zr at (0.0000, 0.0000, 0.0000) and Sb at (0.0000, 0.5000, 0.5000).

***

Here is an optimized crystal structure of ZrSb2 from Alexandria via LeMat-Bulk. Energies are from GGA-PBE.

The density of states at the Fermi level comes out at 1.61 states/eV/f.u. As for the calculated density: 7.1 g cm⁻³. The value obtained for the uncorrected formation energy is -0.348 eV/atom. The calculation puts the total DFT energy (no corrections) at -5.946 eV per atom.

The structure belongs to space group Cmcm (No. 63); the cell edges are 3.6327, 15.5172 and 5.5239 Å and the angles 90.00°, 90.00° and 90.00°. The distinct sites, in fractional coordinates, are Zr at (0.0000, 0.1992, 0.2500), Sb at (0.0000, 0.1508, 0.7500) and Sb at (0.0000, 0.4570, 0.7500).

***

Here is an optimized crystal structure of Sc from Alexandria via LeMat-Bulk. Energies are from GGA-PBE.

The density of states at the Fermi level comes out at 1.99 states/eV/f.u. As for the calculated density: 3.0 g cm⁻³. The calculation puts the total DFT energy (no corrections) at -6.205 eV per atom. For the formation energy, the calculation gives 0.127 eV/atom.

The structure belongs to space group P6_122 (No. 178); the cell edges are 3.2332, 3.2332 and 16.2806 Å and the angles 90.00°, 90.00° and 120.00°. The distinct sites, in fractional coordinates, are Sc at (0.0000, 0.4982, 0.3333).

***

Here is an optimized crystal structure of Sc from Alexandria via LeMat-Bulk. Energies are from GGA-PBE.

The density of states at the Fermi level comes out at 1.73 states/eV/f.u. As for the calculated density: 3.0 g cm⁻³. The calculation puts the total DFT energy (no corrections) at -6.332 eV per atom. For the formation energy, the calculation gives 0.000 eV/atom.

The structure belongs to space group P6_3/mmc (No. 194); the cell edges are 3.3107, 3.3107 and 5.1670 Å and the angles 90.00°, 90.00° and 120.00°. The distinct sites, in fractional coordinates, are Sc at (0.3333, 0.6667, 0.2500).

***

Here is an optimized crystal structure of Sc from Alexandria via LeMat-Bulk. Energies are from GGA-PBE.

The density of states at the Fermi level comes out at 2.73 states/eV/f.u. As for the calculated density: 3.0 g cm⁻³. The calculation puts the total DFT energy (no corrections) at -6.229 eV per atom. For the formation energy, the calculation gives 0.103 eV/atom.

The structure belongs to space group Im-3m (No. 229); the cell edges are 3.6688, 3.6688 and 3.6688 Å and the angles 90.00°, 90.00° and 90.00°. The distinct sites, in fractional coordinates, are Sc at (0.0000, 0.0000, 0.0000).

***

Here is an optimized crystal structure of Sc from Alexandria via LeMat-Bulk. Energies are from GGA-PBE.

The density of states at the Fermi level comes out at 2.24 states/eV/f.u. As for the calculated density: 1.6 g cm⁻³. The calculation puts the total DFT energy (no corrections) at -4.730 eV per atom. For the formation energy, the calculation gives 1.602 eV/atom.

The structure belongs to space group I-43m (No. 217); the cell edges are 9.1381, 9.1381 and 9.1381 Å and the angles 90.00°, 90.00° and 90.00°. The distinct sites, in fractional coordinates, are Sc at (0.1105, 0.1105, 0.8895) and Sc at (0.2017, 0.2017, 0.2017).